(1)
This record from the Alexandria database describes a relaxed HgP2WS crystal. The functional is GGA-PBEsol.

Cell and atoms, written as POSCAR:
```
HgP2WS
1.0
4.7449 0.0000 0.0000
0.0000 4.7449 0.0000
0.0000 0.0000 4.5671
Hg P W S
1 2 1 1
Cartesian
0.0000 0.0000 0.0000 Hg
0.0000 2.3725 2.2836 P
2.3725 0.0000 2.2836 P
2.3725 2.3725 2.2836 W
2.3725 2.3725 0.0000 S
```

=====

(2)
This record from the Alexandria database describes a relaxed ScBS2N crystal. The functional is GGA-PBEsol.

Cell and atoms, written as POSCAR:
```
ScBS2N
1.0
4.8990 0.0000 0.0000
0.0000 4.8990 0.0000
0.0000 0.0000 4.0958
Sc B S N
1 1 2 1
Cartesian
0.0000 0.0000 0.0000 Sc
2.4495 2.4495 2.0479 B
0.0000 2.4495 0.0000 S
2.4495 0.0000 0.0000 S
0.0000 0.0000 2.0479 N
```

=====

(3)
This record from the Alexandria database describes a relaxed Cu3MoS crystal. The functional is GGA-PBEsol.

Cell and atoms, written as POSCAR:
```
Cu3MoS
1.0
4.1625 0.0000 0.0000
0.0000 4.1625 0.0000
0.0000 0.0000 4.1625
Cu Mo S
3 1 1
Cartesian
0.0000 0.0000 2.0812 Cu
0.0000 2.0812 0.0000 Cu
2.0812 0.0000 0.0000 Cu
2.0812 2.0812 2.0812 Mo
0.0000 0.0000 0.0000 S
```

Results
ΔE to the lowest computed polymorph (meV/atom): 0

=====

For the records above, the corresponding formation energy from raw total energies values read 0.35; 1.02; 0.92 eV per atom.